# 1
! CsPm2CuTe3S PBE relaxed; values from VASP
! - Calculated volume: 32.460 A^3/atom
! - Energy above the most stable polymorph in this dataset: 0 meV/atom
&SYSTEM
  ibrav = 0, nat = 16, ntyp = 5
/
ATOMIC_SPECIES
Cs 132.91 Cs.upf
S 32.06 S.upf
Pm 145.00 Pm.upf
Cu 63.55 Cu.upf
Te 127.60 Te.upf
CELL_PARAMETERS angstrom
2.1890 -7.7900 0.0000
2.1890 7.7900 0.0000
0.0000 0.0000 15.2281
ATOMIC_POSITIONS crystal
Cs 0.4141 0.5859 0.7500
Cs 0.5859 0.4141 0.2500
S 0.0886 0.9114 0.7500
S 0.9114 0.0886 0.2500
Pm 0.8649 0.1351 0.4258
Pm 0.8649 0.1351 0.0742
Pm 0.1351 0.8649 0.5742
Pm 0.1351 0.8649 0.9258
Cu 0.6613 0.3387 0.7500
Cu 0.3387 0.6613 0.2500
Te 0.7693 0.2307 0.6150
Te 0.5000 0.5000 0.0000
Te 0.7693 0.2307 0.8850
Te 0.2307 0.7693 0.3850
Te 0.5000 0.5000 0.5000
Te 0.2307 0.7693 0.1150

# 2
! CsZrAuSe3 PBE relaxed; values from VASP
! - Calculated volume: 28.797 A^3/atom
! - Energy above the most stable polymorph in this dataset: 16 meV/atom
&SYSTEM
  ibrav = 0, nat = 24, ntyp = 4
/
ATOMIC_SPECIES
Se 78.96 Se.upf
Cs 132.91 Cs.upf
Zr 91.22 Zr.upf
Au 196.97 Au.upf
CELL_PARAMETERS angstrom
-7.6907 0.5296 7.5617
-0.1210 -3.9863 0.1561
11.2462 0.1065 11.4306
ATOMIC_POSITIONS crystal
Se 0.7413 0.2500 0.6860
Se 0.2587 0.7500 0.3140
Se 0.5358 0.2500 0.3678
Se 0.7587 0.7500 0.1860
Se 0.2413 0.2500 0.8140
Se 0.4642 0.7500 0.6322
Se 0.0358 0.2500 0.1322
Se 0.9671 0.2500 0.3614
Se 0.9642 0.7500 0.8678
Se 0.5329 0.7500 0.8614
Se 0.0329 0.7500 0.6386
Se 0.4671 0.2500 0.1386
Cs 0.2612 0.7500 0.0005
Cs 0.2388 0.2500 0.5005
Cs 0.7388 0.2500 0.9995
Cs 0.7612 0.7500 0.4995
Zr 0.4624 0.2500 0.7516
Zr 0.9624 0.2500 0.7484
Zr 0.5376 0.7500 0.2484
Zr 0.0376 0.7500 0.2516
Au 0.2529 0.7500 0.7017
Au 0.2471 0.2500 0.2017
Au 0.7529 0.7500 0.7983
Au 0.7471 0.2500 0.2983

# 3
! TbAgSeS PBE relaxed; values from VASP
! - E: -5.044 eV/atom
! - Calculated volume: 23.650 A^3/atom
&SYSTEM
  ibrav = 0, nat = 8, ntyp = 4
/
ATOMIC_SPECIES
Tb 158.93 Tb.upf
S 32.06 S.upf
Ag 107.87 Ag.upf
Se 78.96 Se.upf
CELL_PARAMETERS angstrom
4.6074 -4.8501 0.0000
4.6074 4.8501 0.0000
0.0000 0.0000 4.2333
ATOMIC_POSITIONS crystal
Tb 0.0000 0.0000 0.2066
Tb 0.5000 0.5000 0.7768
S 0.6995 0.6995 0.2638
S 0.3005 0.3005 0.2638
Ag 0.5000 0.0000 0.0314
Ag 0.0000 0.5000 0.0314
Se 0.7966 0.2034 0.7131
Se 0.2034 0.7966 0.7131

# 4
! Ac2CuAu3 PBE relaxed; values from VASP
! - ΔE_f: -0.718 eV per atom
! - Calculated volume: 25.859 A^3/atom
&SYSTEM
  ibrav = 0, nat = 6, ntyp = 3
/
ATOMIC_SPECIES
Au 196.97 Au.upf
Ac 227.00 Ac.upf
Cu 63.55 Cu.upf
CELL_PARAMETERS angstrom
4.0232 0.0000 0.0000
0.0000 4.7110 0.0000
0.0000 0.0000 8.1861
ATOMIC_POSITIONS crystal
Au 0.0000 0.0000 0.6469
Au 0.0000 0.5000 0.1848
Au 0.0000 0.5000 0.8394
Ac 0.5000 0.5000 0.5004
Ac 0.5000 0.0000 0.0021
Cu 0.0000 0.0000 0.3264